(1)
Here is an optimized crystal structure of Dy2GaPb from Alexandria via LeMat-Bulk. Energies are from PBE.

Output
ΔH_f (0 K): -558 meV/atom

The structure in CIF format:
```
data_Dy2GaPb
_cell_length_a 6.079
_cell_length_b 4.190
_cell_length_c 8.752
_cell_angle_alpha 90.00
_cell_angle_beta 107.87
_cell_angle_gamma 90.00
_space_group_name_H-M_alt 'P 1 21/m 1'
_space_group_IT_number 11
_space_group_name_Hall '-P 2yb'
loop_
_atom_site_label
_atom_site_fract_x
_atom_site_fract_y
_atom_site_fract_z
Dy1 0.190 0.250 0.425
Dy2 0.274 0.750 0.060
Ga1 0.115 0.250 0.792
Pb1 0.385 0.750 0.710
```

=====

(2)
Here is an optimized crystal structure of PmDyGaPb from Alexandria via LeMat-Bulk. Energies are from PBE.

Output
ΔH_f (0 K): -444 meV/atom

The structure in CIF format:
```
data_PmDyGaPb
_cell_length_a 7.540
_cell_length_b 7.540
_cell_length_c 7.540
_cell_angle_alpha 90.00
_cell_angle_beta 90.00
_cell_angle_gamma 90.00
_space_group_name_H-M_alt 'F -4 3 m'
_space_group_IT_number 216
_space_group_name_Hall 'F -4 2 3'
loop_
_atom_site_label
_atom_site_fract_x
_atom_site_fract_y
_atom_site_fract_z
Pm1 0.000 0.000 0.000
Dy1 0.000 0.000 0.500
Ga1 0.250 0.250 0.250
Pb1 0.250 0.250 0.750
```

=====

(3)
Here is an optimized crystal structure of Dy2Ga2Rh5Pb from Alexandria via LeMat-Bulk. Energies are from PBE.

Output
ΔH_f (0 K): -747 meV/atom

The structure in CIF format:
```
data_Dy2Ga2Rh5Pb
_cell_length_a 9.840
_cell_length_b 9.840
_cell_length_c 3.650
_cell_angle_alpha 90.00
_cell_angle_beta 90.00
_cell_angle_gamma 90.00
_space_group_name_H-M_alt 'P 4/m b m'
_space_group_IT_number 127
_space_group_name_Hall '-P 4 2ab'
loop_
_atom_site_label
_atom_site_fract_x
_atom_site_fract_y
_atom_site_fract_z
Dy1 0.175 0.325 0.000
Ga1 0.122 0.622 0.000
Rh1 0.000 0.500 0.500
Rh2 0.071 0.789 0.500
Pb1 0.000 0.000 0.000
```

=====

(4)
Here is an optimized crystal structure of DyGaPb2S5 from Alexandria via LeMat-Bulk. Energies are from PBE.

Output
Formation energy from raw total energies: -1.001 eV per atom

The structure in CIF format:
```
data_DyGaPb2S5
_cell_length_a 3.920
_cell_length_b 17.792
_cell_length_c 12.793
_cell_angle_alpha 90.00
_cell_angle_beta 90.00
_cell_angle_gamma 90.00
_space_group_name_H-M_alt 'C m c 21'
_space_group_IT_number 36
_space_group_name_Hall 'C 2c -2'
loop_
_atom_site_label
_atom_site_fract_x
_atom_site_fract_y
_atom_site_fract_z
Dy1 0.000 0.199 0.000
Ga1 0.000 0.447 0.399
Pb1 0.000 0.123 0.298
Pb2 0.000 0.132 0.642
S1 0.000 0.039 0.001
S2 0.000 0.295 0.647
S3 0.000 0.320 0.351
S4 0.000 0.350 0.987
S5 0.000 0.489 0.748
```

=====

(5)
Here is an optimized crystal structure of Dy6Ga2PbSe3 from Alexandria via LeMat-Bulk. Energies are from PBE.

Output
Formation energy from raw total energies: -1.139 eV per atom

The structure in CIF format:
```
data_Dy6Ga2PbSe3
_cell_length_a 18.702
_cell_length_b 4.003
_cell_length_c 8.715
_cell_angle_alpha 90.00
_cell_angle_beta 109.23
_cell_angle_gamma 90.00
_space_group_name_H-M_alt 'C 1 2/m 1'
_space_group_IT_number 12
_space_group_name_Hall '-C 2y'
loop_
_atom_site_label
_atom_site_fract_x
_atom_site_fract_y
_atom_site_fract_z
Dy1 0.001 0.000 0.268
Dy2 0.166 0.500 0.589
Dy3 0.173 0.500 0.088
Ga1 0.169 0.000 0.340
Pb1 0.000 0.500 0.000
Se1 0.000 0.500 0.500
Se2 0.164 0.000 0.834
```

=====

(6)
Here is an optimized crystal structure of SmDyGaPb from Alexandria via LeMat-Bulk. Energies are from PBE.

Output
ΔH_f (0 K): -441 meV/atom

The structure in CIF format:
```
data_SmDyGaPb
_cell_length_a 7.521
_cell_length_b 7.521
_cell_length_c 7.521
_cell_angle_alpha 90.00
_cell_angle_beta 90.00
_cell_angle_gamma 90.00
_space_group_name_H-M_alt 'F -4 3 m'
_space_group_IT_number 216
_space_group_name_Hall 'F -4 2 3'
loop_
_atom_site_label
_atom_site_fract_x
_atom_site_fract_y
_atom_site_fract_z
Sm1 0.000 0.000 0.000
Dy1 0.000 0.000 0.500
Ga1 0.250 0.250 0.250
Pb1 0.250 0.250 0.750
```

=====

(7)
Here is an optimized crystal structure of SrDyGaPb from Alexandria via LeMat-Bulk. Energies are from PBE.

Output
ΔH_f (0 K): -373 meV/atom

The structure in CIF format:
```
data_SrDyGaPb
_cell_length_a 7.730
_cell_length_b 7.730
_cell_length_c 7.730
_cell_angle_alpha 90.00
_cell_angle_beta 90.00
_cell_angle_gamma 90.00
_space_group_name_H-M_alt 'F -4 3 m'
_space_group_IT_number 216
_space_group_name_Hall 'F -4 2 3'
loop_
_atom_site_label
_atom_site_fract_x
_atom_site_fract_y
_atom_site_fract_z
Sr1 0.000 0.000 0.000
Dy1 0.000 0.000 0.500
Ga1 0.250 0.250 0.250
Pb1 0.250 0.250 0.750
```

=====

(8)
Here is an optimized crystal structure of TbDyGaPb from Alexandria via LeMat-Bulk. Energies are from PBE.

Output
ΔH_f (0 K): -433 meV/atom

The structure in CIF format:
```
data_TbDyGaPb
_cell_length_a 7.468
_cell_length_b 7.468
_cell_length_c 7.468
_cell_angle_alpha 90.00
_cell_angle_beta 90.00
_cell_angle_gamma 90.00
_space_group_name_H-M_alt 'F -4 3 m'
_space_group_IT_number 216
_space_group_name_Hall 'F -4 2 3'
loop_
_atom_site_label
_atom_site_fract_x
_atom_site_fract_y
_atom_site_fract_z
Tb1 0.000 0.000 0.000
Dy1 0.000 0.000 0.500
Ga1 0.250 0.250 0.750
Pb1 0.250 0.250 0.250
```

=====

(9)
Here is an optimized crystal structure of Dy2GaTe6Pb3 from Alexandria via LeMat-Bulk. Energies are from PBE.

Output
Formation energy from raw total energies: -0.682 eV per atom

The structure in CIF format:
```
data_Dy2GaTe6Pb3
_cell_length_a 19.798
_cell_length_b 4.464
_cell_length_c 9.268
_cell_angle_alpha 90.00
_cell_angle_beta 104.42
_cell_angle_gamma 90.00
_space_group_name_H-M_alt 'C 1 2/m 1'
_space_group_IT_number 12
_space_group_name_Hall '-C 2y'
loop_
_atom_site_label
_atom_site_fract_x
_atom_site_fract_y
_atom_site_fract_z
Dy1 0.167 0.000 0.345
Ga1 0.000 0.500 0.000
Te1 0.007 0.000 0.247
Te2 0.168 0.500 0.109
Te3 0.171 0.500 0.583
Pb1 0.000 0.500 0.500
Pb2 0.160 0.000 0.848
```

=====

(10)
Here is an optimized crystal structure of Dy6Ga2Te3Pb from Alexandria via LeMat-Bulk. Energies are from PBE.

Output
Formation energy from raw total energies: -0.919 eV per atom

The structure in CIF format:
```
data_Dy6Ga2Te3Pb
_cell_length_a 19.238
_cell_length_b 4.213
_cell_length_c 8.875
_cell_angle_alpha 90.00
_cell_angle_beta 108.23
_cell_angle_gamma 90.00
_space_group_name_H-M_alt 'C 1 2/m 1'
_space_group_IT_number 12
_space_group_name_Hall '-C 2y'
loop_
_atom_site_label
_atom_site_fract_x
_atom_site_fract_y
_atom_site_fract_z
Dy1 0.008 0.000 0.254
Dy2 0.169 0.500 0.104
Dy3 0.170 0.500 0.580
Ga1 0.170 0.000 0.343
Te1 0.000 0.500 0.500
Te2 0.163 0.000 0.837
Pb1 0.000 0.500 0.000
```

=====

(11)
Here is an optimized crystal structure of DyThGaPb from Alexandria via LeMat-Bulk. Energies are from PBE.

Output
ΔH_f (0 K): -310 meV/atom

The structure in CIF format:
```
data_DyThGaPb
_cell_length_a 7.572
_cell_length_b 7.572
_cell_length_c 7.572
_cell_angle_alpha 90.00
_cell_angle_beta 90.00
_cell_angle_gamma 90.00
_space_group_name_H-M_alt 'F -4 3 m'
_space_group_IT_number 216
_space_group_name_Hall 'F -4 2 3'
loop_
_atom_site_label
_atom_site_fract_x
_atom_site_fract_y
_atom_site_fract_z
Dy1 0.000 0.000 0.000
Th1 0.000 0.000 0.500
Ga1 0.250 0.250 0.250
Pb1 0.250 0.250 0.750
```

=====

(12)
Here is an optimized crystal structure of DyTmGaPb from Alexandria via LeMat-Bulk. Energies are from PBE.

Output
ΔH_f (0 K): -405 meV/atom

The structure in CIF format:
```
data_DyTmGaPb
_cell_length_a 7.414
_cell_length_b 7.414
_cell_length_c 7.414
_cell_angle_alpha 90.00
_cell_angle_beta 90.00
_cell_angle_gamma 90.00
_space_group_name_H-M_alt 'F -4 3 m'
_space_group_IT_number 216
_space_group_name_Hall 'F -4 2 3'
loop_
_atom_site_label
_atom_site_fract_x
_atom_site_fract_y
_atom_site_fract_z
Dy1 0.000 0.000 0.000
Tm1 0.000 0.000 0.500
Ga1 0.250 0.250 0.250
Pb1 0.250 0.250 0.750
```

=====

no.,uncorrected energy (eV per atom)
1,-4.542
2,-4.466
3,-6.319
4,-4.966
5,-5.124
6,-4.455
7,-3.627
8,-4.425
9,-4.200
10,-4.819
11,-4.999
12,-4.357